Record 1
The following is a GGA-PBEsol calculation of an optimized crystal structure of LaReNi2, from Alexandria.

Values from the calculation:
Its crystal system is orthorhombic. For the offset from the most stable computed form, the calculation gives 0 meV/atom.

Cell: 5.725 7.528 2.808 Å, 90.00 90.00 90.00°
Space group Cmmm (No. 65)
Symmetry-distinct sites (fractional):
La 0.000 0.000 0.000 (multiplicity 2)
Re 0.000 0.500 0.000 (multiplicity 2)
Ni 0.250 0.250 0.500 (multiplicity 4)

Record 2
The following is a GGA-PBEsol calculation of an optimized crystal structure of La2Ni2Rh, from Alexandria.

Values from the calculation:
Its crystal system is tetragonal.

Cell: 3.461 3.461 16.205 Å, 90.00 90.00 90.00°
Space group I4/mmm (No. 139)
Symmetry-distinct sites (fractional):
La 0.000 0.000 0.109 (multiplicity 4)
Ni 0.000 0.500 0.250 (multiplicity 4)
Rh 0.000 0.000 0.500 (multiplicity 2)

Record 3
The following is a GGA-PBEsol calculation of an optimized crystal structure of LaNi2Rh, from Alexandria.

Values from the calculation:
Its crystal system is orthorhombic. For the offset from the most stable computed form, the calculation gives 239 meV/atom.

Cell: 3.993 4.002 7.666 Å, 90.00 90.00 90.00°
Space group Imm2 (No. 44)
Symmetry-distinct sites (fractional):
La 0.000 0.000 0.000 (multiplicity 2)
Ni 0.000 0.000 0.498 (multiplicity 2)
Ni 0.000 0.500 0.750 (multiplicity 2)
Rh 0.000 0.500 0.249 (multiplicity 2)

Record 4
The following is a GGA-PBEsol calculation of an optimized crystal structure of LaNiRh, from Alexandria.

Values from the calculation:
Its crystal system is hexagonal.

Cell: 4.1256 4.1256 3.9744 Å, 90.00 90.00 120.00°
Space group P-6m2 (No. 187)
Symmetry-distinct sites (fractional):
La 0.0000 0.0000 0.0000 (multiplicity 1)
Ni 0.6667 0.3333 0.5000 (multiplicity 1)
Rh 0.3333 0.6667 0.5000 (multiplicity 1)

How do the records compare in DFT formation energy? In the order shown, they have 0.2790; -0.2404; -0.0863; -0.4311 eV/atom.
How do the records compare in final energy? In the order shown, they have -7.4693; -6.4696; -6.5363; -6.9785 eV/atom.
How do the records compare in magnetic moment? In the order shown, they have 0.000; 0.000; 0.000; 0.000 μB/atom.